# 1
This record from Alexandria describes a relaxed Mg2TlHPb crystal. The functional is PBE-GGA.

As for the crystal system: tetragonal. Its density of states at the Fermi level is 1.878 states/eV/f.u.

The space group is P4/mmm (No. 123) and the conventional cell measures 4.742, 4.742 and 4.726 Å, with angles of 90.00, 90.00 and 90.00 degrees. The asymmetric unit holds Mg at (0.000, 0.500, 0.000), Tl at (0.000, 0.000, 0.500), H at (0.500, 0.500, 0.000) and Pb at (0.500, 0.500, 0.500).

---

# 2
This record from Alexandria describes a relaxed Mg2TlHPb crystal. The functional is PBE-GGA.

As for the crystal system: tetragonal. Its density of states at the Fermi level is 2.070 states/eV/f.u.

The space group is P4/mmm (No. 123) and the conventional cell measures 4.738, 4.738 and 4.792 Å, with angles of 90.00, 90.00 and 90.00 degrees. The asymmetric unit holds Mg at (0.000, 0.500, 0.000), Tl at (0.000, 0.000, 0.500), H at (0.000, 0.000, 0.000) and Pb at (0.500, 0.500, 0.500).

---

# 3
This record from Alexandria describes a relaxed YMg2HPb crystal. The functional is PBE-GGA.

As for the crystal system: tetragonal. Its density of states at the Fermi level is 2.497 states/eV/f.u.

The space group is P4/mmm (No. 123) and the conventional cell measures 4.653, 4.653 and 4.582 Å, with angles of 90.00, 90.00 and 90.00 degrees. The asymmetric unit holds Y at (0.000, 0.000, 0.000), Mg at (0.000, 0.500, 0.500), H at (0.000, 0.000, 0.500) and Pb at (0.500, 0.500, 0.000).

---

# 4
This record from Alexandria describes a relaxed Y2MgHPb crystal. The functional is PBE-GGA.

As for the crystal system: tetragonal. Its density of states at the Fermi level is 4.545 states/eV/f.u.

The space group is P4/mmm (No. 123) and the conventional cell measures 4.790, 4.790 and 4.675 Å, with angles of 90.00, 90.00 and 90.00 degrees. The asymmetric unit holds Y at (0.000, 0.500, 0.000), Mg at (0.000, 0.000, 0.500), H at (0.000, 0.000, 0.000) and Pb at (0.500, 0.500, 0.500).

---

# 5
This record from Alexandria describes a relaxed Mg2ZnHPb crystal. The functional is PBE-GGA.

As for the crystal system: tetragonal. Its density of states at the Fermi level is 1.589 states/eV/f.u.

The space group is P4/mmm (No. 123) and the conventional cell measures 4.453, 4.453 and 4.532 Å, with angles of 90.00, 90.00 and 90.00 degrees. The asymmetric unit holds Mg at (0.000, 0.500, 0.000), Zn at (0.000, 0.000, 0.500), H at (0.000, 0.000, 0.000) and Pb at (0.500, 0.500, 0.500).

---

# 6
This record from Alexandria describes a relaxed MgHPd crystal. The functional is PBE-GGA.

As for the crystal system: tetragonal. Its density of states at the Fermi level is 1.287 states/eV/f.u.

The space group is P4_2/mmc (No. 131) and the conventional cell measures 3.407, 3.407 and 6.363 Å, with angles of 90.00, 90.00 and 90.00 degrees. The asymmetric unit holds Mg at (0.000, 0.000, 0.250), H at (0.000, 0.500, 0.000) and Pd at (0.500, 0.500, 0.000).

---

# 7
This record from Alexandria describes a relaxed MgH3Pd6 crystal. The functional is PBE-GGA.

As for the crystal system: triclinic. Its density of states at the Fermi level is 6.852 states/eV/f.u.

The space group is P1 (No. 1) and the conventional cell measures 5.384, 5.446 and 5.678 Å, with angles of 103.78, 106.61 and 116.55 degrees. The asymmetric unit holds Mg at (0.000, 0.000, 0.000), H at (0.330, 0.684, 0.007), H at (0.464, 0.200, 0.659), H at (0.761, 0.590, 0.360), Pd at (0.420, 0.916, 0.337), Pd at (0.423, 0.909, 0.825), Pd at (0.489, 0.492, 0.496), Pd at (0.520, 0.483, 0.005), Pd at (0.919, 0.405, 0.819) and Pd at (0.997, 0.994, 0.496).

---

# 8
This record from Alexandria describes a relaxed MgH2Pd8 crystal. The functional is PBE-GGA.

As for the crystal system: monoclinic. Its density of states at the Fermi level is 10.766 states/eV/f.u.

The space group is C2/m (No. 12) and the conventional cell measures 11.962, 5.378 and 4.737 Å, with angles of 90.00, 91.22 and 90.00 degrees. The asymmetric unit holds Mg at (0.000, 0.000, 0.000), H at (0.203, 0.000, 0.753), Pd at (0.097, 0.500, 0.133), Pd at (0.115, 0.250, 0.613) and Pd at (0.206, 0.000, 0.131).

---

no.,calculated total energy (eV/atom)
1,-2.42
2,-2.43
3,-3.61
4,-4.66
5,-2.23
6,-3.80
7,-4.44
8,-4.60